Pm7PSe5 | PBE | optimized geometry

## Properties
- ΔE_f (raw): -1.619 eV per atom
- Electronic total energy: -308.53 eV per cell

a b c (Å): 4.077 13.718 24.851
angles (deg): 90.00 90.00 90.00
Space group Cmc2_1 (No. 36)
Unique sites:
Pm  0.000  0.042  0.000 [4 per cell]
Pm  0.000  0.124  0.284 [4 per cell]
Pm  0.000  0.154  0.708 [4 per cell]
Pm  0.000  0.287  0.066 [4 per cell]
Pm  0.000  0.310  0.929 [4 per cell]
Pm  0.000  0.395  0.369 [4 per cell]
Pm  0.000  0.435  0.641 [4 per cell]
P  0.000  0.310  0.481 [4 per cell]
Se  0.000  0.044  0.393 [4 per cell]
Se  0.000  0.070  0.600 [4 per cell]
Se  0.000  0.207  0.174 [4 per cell]
Se  0.000  0.235  0.820 [4 per cell]
Se  0.000  0.481  0.251 [4 per cell]